Record 1
Compound: CsAsF3
Source: Alexandria
Functional: PBE
Structure: optimized geometry

Properties
- Formation energy (no corrections): -1.86 eV/atom
- Polymorph energy (0 for the lowest one): 0.361 eV/atom
- SG: No. 221
- Volume: 17.23 A^3/atom
- D(E_F): 1.93 states/eV/f.u.
- Total magnetization: 0.46 μB per formula unit

Cell lengths 4.417, 4.417, 4.417 Å; angles 90.00, 90.00, 90.00 degrees
Atoms (fractional coordinates):
Cs1 0.000 0.000 0.000
As1 0.500 0.500 0.500
F1 0.000 0.500 0.500
F2 0.500 0.000 0.500
F3 0.500 0.500 0.000

---

Record 2
Compound: Tb3SmZn4
Source: Alexandria
Functional: PBE
Structure: optimized geometry

Properties
- SG: No. 123
- Volume: 23.26 A^3/atom
- D(E_F): 9.43 states/eV/f.u.
- Total magnetization: 0.00 μB per formula unit
- Energy of formation: -2.66 eV per formula unit

Cell lengths 5.069, 5.069, 7.243 Å; angles 90.00, 90.00, 90.00 degrees
Atoms (fractional coordinates):
Tb1 0.000 0.000 0.000
Tb2 0.000 0.000 0.500
Tb3 0.500 0.500 0.000
Sm1 0.500 0.500 0.500
Zn1 0.000 0.500 0.246
Zn2 0.000 0.500 0.754
Zn3 0.500 0.000 0.246
Zn4 0.500 0.000 0.754

---

Record 3
Compound: TlIrRh2
Source: Alexandria
Functional: PBE
Structure: optimized geometry

Properties
- Polymorph energy (0 for the lowest one): 0.150 eV/atom
- SG: No. 44
- Volume: 16.41 A^3/atom
- D(E_F): 5.70 states/eV/f.u.
- Total magnetization: 0.00 μB per formula unit
- Energy of formation: 1.40 eV per formula unit

Cell lengths 2.863, 4.757, 9.638 Å; angles 90.00, 90.00, 90.00 degrees
Atoms (fractional coordinates):
Tl1 0.000 0.000 0.000
Tl2 0.500 0.500 0.500
Ir1 0.000 0.500 0.237
Ir2 0.500 0.000 0.737
Rh1 0.000 0.000 0.506
Rh2 0.000 0.500 0.762
Rh3 0.500 0.000 0.262
Rh4 0.500 0.500 0.006

---

> D(E_F) of number 1 (CsAsF3)?

1.93 states/eV/f.u.

---

> Number 2 is which compound?

Tb3SmZn4